Density functional theory data (GGA-PBE) for a geometry-optimized NaTiV2 structure.

Cell and atoms, written as extended XYZ:
```
4
Lattice="0.0000 3.2737 3.2737 3.2737 0.0000 3.2737 3.2737 3.2737 0.0000" Properties=species:S:1:pos:R:3 pbc="T T T"
Na 0.0000 0.0000 0.0000
Ti 3.2737 3.2737 3.2737
V 1.6369 1.6369 1.6369
V 4.9106 4.9106 4.9106
```

DFT formation energy	0.999	eV/atom
space-group type	Fm-3m (225)
E above lowest polymorph	0	meV/atom